Record 1
HoScBiSb: relaxed, PBE-GGA.

abc: 4.331 4.331 6.099
angles: 90.00 90.00 90.00
Positions (direct):
Ho (0.000, 0.000, 0.000)
Sc (0.500, 0.500, 0.501)
Bi (0.500, 0.500, 0.001)
Sb (0.000, 0.000, 0.500)

energy relative to the elements, uncorrected	-0.851	eV/atom
space group	P4mm

Record 2
Tm5ZnBi4: relaxed, PBE-GGA.

abc: 7.583 7.583 7.583
angles: 99.61 99.61 131.77
Positions (direct):
Tm (0.000, 0.000, 0.000)
Tm (0.207, 0.398, 0.604)
Tm (0.398, 0.793, 0.191)
Tm (0.602, 0.207, 0.809)
Tm (0.793, 0.602, 0.396)
Zn (0.500, 0.500, 0.000)
Bi (0.095, 0.698, 0.794)
Bi (0.302, 0.095, 0.397)
Bi (0.698, 0.905, 0.603)
Bi (0.905, 0.302, 0.206)

space group	I4/m
total energy	-4.473	eV/atom

Record 3
BeGaOs3: relaxed, PBE-GGA.

abc: 4.489 4.489 4.489
angles: 90.00 90.00 90.00
Positions (direct):
Be (0.000, 0.000, 0.000)
Ga (0.500, 0.500, 0.500)
Os (0.000, 0.500, 0.500)
Os (0.500, 0.000, 0.500)
Os (0.500, 0.500, 0.000)

offset from the most stable computed form	32.28	kcal/mol of atoms
space group	Pm-3m

Record 4
Pm2PrSm9: relaxed, PBE-GGA.

abc: 5.144 5.144 15.421
angles: 90.00 90.00 90.00
Positions (direct):
Pm (0.000, 0.000, 0.166)
Pm (0.000, 0.000, 0.834)
Pr (0.000, 0.000, 0.500)
Sm (0.000, 0.500, 0.000)
Sm (0.000, 0.500, 0.332)
Sm (0.000, 0.500, 0.668)
Sm (0.500, 0.000, 0.000)
Sm (0.500, 0.000, 0.332)
Sm (0.500, 0.000, 0.668)
Sm (0.500, 0.500, 0.166)
Sm (0.500, 0.500, 0.500)
Sm (0.500, 0.500, 0.834)

offset from the most stable computed form	0.00	kcal/mol of atoms
space group	P4/mmm

Record 5
Rb2SrBO4: relaxed, PBE-GGA.

abc: 5.679 5.679 5.679
angles: 106.65 106.65 115.28
Positions (direct):
Rb (0.000, 0.500, 0.500)
Rb (0.500, 0.000, 0.500)
Sr (0.000, 0.000, 0.000)
B (0.500, 0.500, 0.000)
O (0.226, 0.226, 0.746)
O (0.480, 0.480, 0.254)
O (0.520, 0.774, 0.000)
O (0.774, 0.520, 0.000)

energy relative to the elements, uncorrected	-1.712	eV/atom
space group	I-42m

Record 6
KU2CuS6: relaxed, PBE-GGA.

abc: 9.239 9.239 6.915
angles: 109.04 109.04 81.29
Positions (direct):
K (0.235, 0.765, 0.750)
K (0.765, 0.235, 0.250)
U (0.167, 0.334, 0.979)
U (0.334, 0.167, 0.479)
U (0.666, 0.833, 0.521)
U (0.833, 0.666, 0.021)
Cu (0.398, 0.602, 0.250)
Cu (0.602, 0.398, 0.750)
S (0.085, 0.184, 0.178)
S (0.130, 0.611, 0.218)
S (0.184, 0.085, 0.678)
S (0.327, 0.427, 0.785)
S (0.389, 0.870, 0.282)
S (0.427, 0.327, 0.285)
S (0.573, 0.673, 0.715)
S (0.611, 0.130, 0.718)
S (0.673, 0.573, 0.215)
S (0.816, 0.915, 0.322)
S (0.870, 0.389, 0.782)
S (0.915, 0.816, 0.822)

energy relative to the elements, uncorrected	-1.095	eV/atom
space group	C2/c

Record 7
Cr4CoRu: relaxed, PBE-GGA.

abc: 4.670 4.670 4.670
angles: 60.00 60.00 60.00
Positions (direct):
Cr (0.376, 0.376, 0.376)
Cr (0.376, 0.376, 0.872)
Cr (0.376, 0.872, 0.376)
Cr (0.872, 0.376, 0.376)
Co (0.750, 0.750, 0.750)
Ru (0.000, 0.000, 0.000)

space group	F-43m
total energy	-9.017	eV/atom

Record 8
Pr6Cd2In: relaxed, PBE-GGA.

abc: 9.145 9.145 9.145
angles: 110.08 109.83 108.51
Positions (direct):
Pr (0.055, 0.233, 0.822)
Pr (0.253, 0.300, 0.553)
Pr (0.253, 0.700, 0.952)
Pr (0.266, 0.584, 0.318)
Pr (0.266, 0.948, 0.682)
Pr (0.411, 0.233, 0.178)
Pr (0.589, 0.767, 0.822)
Pr (0.734, 0.052, 0.318)
Pr (0.734, 0.416, 0.682)
Pr (0.747, 0.300, 0.048)
Pr (0.747, 0.700, 0.447)
Pr (0.945, 0.767, 0.178)
Cd (0.000, 0.137, 0.137)
Cd (0.000, 0.863, 0.863)
Cd (0.365, 0.000, 0.365)
Cd (0.635, 0.000, 0.635)
In (0.000, 0.500, 0.500)
In (0.500, 0.500, 0.000)

offset from the most stable computed form	0.96	kcal/mol of atoms
space group	Immm

Record 9
Tb2PrPu: relaxed, PBE-GGA.

abc: 5.874 5.874 3.710
angles: 90.00 90.00 90.00
Positions (direct):
Tb (0.000, 0.500, 0.000)
Tb (0.500, 0.000, 0.000)
Pr (0.000, 0.000, 0.500)
Pu (0.500, 0.500, 0.500)

offset from the most stable computed form	2.22	kcal/mol of atoms
space group	P4/mmm

Record 10
K4HoPa3Se8: relaxed, PBE-GGA.

abc: 9.200 9.200 9.200
angles: 53.81 53.81 53.81
Positions (direct):
K (0.000, 0.000, 0.000)
K (0.000, 0.500, 0.500)
K (0.500, 0.000, 0.500)
K (0.500, 0.500, 0.000)
Ho (0.500, 0.500, 0.500)
Pa (0.000, 0.000, 0.500)
Pa (0.000, 0.500, 0.000)
Pa (0.500, 0.000, 0.000)
Se (0.238, 0.238, 0.238)
Se (0.240, 0.735, 0.735)
Se (0.265, 0.265, 0.760)
Se (0.265, 0.760, 0.265)
Se (0.735, 0.240, 0.735)
Se (0.735, 0.735, 0.240)
Se (0.760, 0.265, 0.265)
Se (0.762, 0.762, 0.762)

energy relative to the elements, uncorrected	-1.414	eV/atom
space group	R-3m

Record 11
MgSc2: relaxed, PBE-GGA.

abc: 8.363 8.363 5.130
angles: 90.00 90.00 156.72
Positions (direct):
Mg (0.062, 0.938, 0.750)
Mg (0.938, 0.062, 0.250)
Sc (0.273, 0.727, 0.250)
Sc (0.398, 0.602, 0.750)
Sc (0.602, 0.398, 0.250)
Sc (0.727, 0.273, 0.750)

space group	Cmcm
total energy	-4.788	eV/atom

Record 12
PrSmSi: relaxed, PBE-GGA.

abc: 4.738 4.738 4.317
angles: 90.00 90.00 120.00
Positions (direct):
Pr (0.000, 0.000, 0.000)
Sm (0.667, 0.333, 0.543)
Si (0.333, 0.667, 0.337)

energy relative to the elements, uncorrected	-0.291	eV/atom
offset from the most stable computed form	4.99	kcal/mol of atoms
space group	P3m1

Record 13
CeAs2Pd5Au: relaxed, PBE-GGA.

abc: 4.683 4.683 7.617
angles: 90.00 90.00 90.00
Positions (direct):
Ce (0.000, 0.000, 0.000)
As (0.500, 0.500, 0.337)
As (0.500, 0.500, 0.663)
Pd (0.000, 0.500, 0.238)
Pd (0.000, 0.500, 0.762)
Pd (0.500, 0.000, 0.238)
Pd (0.500, 0.000, 0.762)
Pd (0.500, 0.500, 0.000)
Au (0.000, 0.000, 0.500)

space group	P4/mmm
total energy	-5.353	eV/atom

Record 14
Ni2RuW2: relaxed, PBE-GGA.

abc: 5.150 5.150 6.935
angles: 109.39 109.39 53.01
Positions (direct):
Ni (0.064, 0.723, 0.549)
Ni (0.277, 0.936, 0.951)
Ni (0.723, 0.064, 0.049)
Ni (0.936, 0.277, 0.451)
Ru (0.319, 0.681, 0.250)
Ru (0.681, 0.319, 0.750)
W (0.147, 0.485, 0.855)
W (0.485, 0.147, 0.355)
W (0.515, 0.853, 0.645)
W (0.853, 0.515, 0.145)

offset from the most stable computed form	0.00	kcal/mol of atoms
space group	C2/c

Record 15
Ta2CrCdTc: relaxed, PBE-GGA.

abc: 4.842 4.842 4.451
angles: 90.00 90.00 90.00
Positions (direct):
Ta (0.000, 0.500, 0.000)
Ta (0.500, 0.000, 0.000)
Cr (0.000, 0.000, 0.500)
Cd (0.500, 0.500, 0.500)
Tc (0.000, 0.000, 0.000)

space group	P4/mmm
total energy	-7.720	eV/atom

Record 16
Sr3LaS: relaxed, PBE-GGA.

abc: 6.239 6.239 6.239
angles: 90.00 90.00 90.00
Positions (direct):
Sr (0.000, 0.000, 0.500)
Sr (0.000, 0.500, 0.000)
Sr (0.500, 0.000, 0.000)
La (0.000, 0.000, 0.000)
S (0.500, 0.500, 0.500)

energy relative to the elements, uncorrected	0.814	eV/atom
offset from the most stable computed form	31.60	kcal/mol of atoms
space group	Pm-3m

Record 17
LiCdAg2: relaxed, PBE-GGA.

abc: 5.075 5.075 5.075
angles: 131.54 131.54 70.95
Positions (direct):
Li (0.000, 0.000, 0.000)
Cd (0.750, 0.250, 0.500)
Ag (0.250, 0.750, 0.500)
Ag (0.500, 0.500, 0.000)

space group	I-4m2
total energy	-2.310	eV/atom

Record 18
TcMo2W: relaxed, PBE-GGA.

abc: 4.900 4.900 4.888
angles: 99.96 99.96 33.19
Positions (direct):
Tc (0.000, 0.000, 0.000)
Mo (0.260, 0.260, 0.744)
Mo (0.503, 0.503, 0.500)
W (0.743, 0.743, 0.232)

offset from the most stable computed form	6.43	kcal/mol of atoms
space group	Cm

Record 19
Ag2PtW: relaxed, PBE-GGA.

abc: 5.897 5.897 5.897
angles: 101.52 101.52 126.90
Positions (direct):
Ag (0.124, 0.625, 0.999)
Ag (0.375, 0.374, 0.499)
Ag (0.626, 0.125, 0.001)
Ag (0.875, 0.876, 0.501)
Pt (0.250, 0.750, 0.500)
Pt (0.500, 0.500, 0.000)
W (0.000, 0.000, 0.000)
W (0.750, 0.250, 0.500)

offset from the most stable computed form	20.47	kcal/mol of atoms
space group	I-42d

Record 20
TlCdIn2Hg: relaxed, PBE-GGA.

abc: 7.482 7.482 6.537
angles: 90.00 90.00 128.82
Positions (direct):
Tl (0.249, 0.751, 0.750)
Tl (0.751, 0.249, 0.250)
Cd (0.356, 0.644, 0.250)
Cd (0.644, 0.356, 0.750)
In (0.248, 0.248, 0.000)
In (0.248, 0.248, 0.500)
In (0.752, 0.752, 0.000)
In (0.752, 0.752, 0.500)
Hg (0.149, 0.851, 0.250)
Hg (0.851, 0.149, 0.750)

space group	Cmcm
total energy	-1.771	eV/atom

Record 21
TbEu2P: relaxed, PBE-GGA.

abc: 10.816 10.816 10.816
angles: 20.79 20.79 20.79
Positions (direct):
Tb (0.000, 0.000, 0.000)
Eu (0.113, 0.113, 0.113)
Eu (0.887, 0.887, 0.887)
P (0.500, 0.500, 0.500)

space group	R-3m
total energy	-7.998	eV/atom

Record 22
NdHg2Ge: relaxed, PBE-GGA.

abc: 11.208 11.208 11.208
angles: 17.34 17.34 17.34
Positions (direct):
Nd (0.000, 0.000, 0.000)
Hg (0.095, 0.095, 0.095)
Hg (0.905, 0.905, 0.905)
Ge (0.500, 0.500, 0.500)

offset from the most stable computed form	15.16	kcal/mol of atoms
space group	R-3m

Record 23
SrY2Tl3: relaxed, PBE-GGA.

abc: 3.866 3.866 11.865
angles: 90.00 90.00 90.00
Positions (direct):
Sr (0.000, 0.000, 0.000)
Y (0.000, 0.000, 0.341)
Y (0.000, 0.000, 0.659)
Tl (0.500, 0.500, 0.187)
Tl (0.500, 0.500, 0.500)
Tl (0.500, 0.500, 0.813)

space group	P4/mmm
total energy	-4.007	eV/atom

Record 24
Tm2ScAg2: relaxed, PBE-GGA.

abc: 5.697 5.697 5.697
angles: 131.64 113.27 86.59
Positions (direct):
Tm (0.203, 0.203, 0.000)
Tm (0.797, 0.797, 0.000)
Sc (0.500, 0.000, 0.500)
Ag (0.221, 0.500, 0.721)
Ag (0.779, 0.500, 0.279)

space group	Immm
total energy	-4.356	eV/atom

Record 25
PmPaCoCl: relaxed, PBE-GGA.

abc: 15.620 15.620 15.620
angles: 14.43 14.43 14.43
Positions (direct):
Pm (0.089, 0.089, 0.089)
Pm (0.911, 0.911, 0.911)
Pa (0.310, 0.310, 0.310)
Pa (0.690, 0.690, 0.690)
Co (0.382, 0.382, 0.382)
Co (0.618, 0.618, 0.618)
Cl (0.206, 0.206, 0.206)
Cl (0.794, 0.794, 0.794)

energy relative to the elements, uncorrected	-0.860	eV/atom
space group	R-3m